Material: HfZr3Ag
Method: DFT, PBE
State: optimized geometry

a b c (Å): 5.156 5.156 5.156
angles (deg): 90.00 90.00 90.00
Space group Pm-3m (No. 221)
Symmetry-distinct sites (fractional):
Hf 0.000 0.000 0.000 x1
Zr 0.000 0.000 0.500 x3
Ag 0.500 0.500 0.500 x1

Calculated values
ΔH_f (0 K): 5.7 eV per formula unit
ΔE to the lowest computed polymorph: 1.052 eV/atom

---

Material: Hf2NbTc
Method: DFT, PBE
State: optimized geometry

a b c (Å): 3.191 3.151 15.873
angles (deg): 90.00 90.00 90.00
Space group Amm2 (No. 38)
Symmetry-distinct sites (fractional):
Hf 0.000 0.000 0.000 x2
Hf 0.000 0.000 0.204 x2
Nb 0.500 0.000 0.370 x2
Tc 0.500 0.000 0.603 x2

Calculated values
ΔH_f (0 K): 0.1 eV per formula unit
ΔE to the lowest computed polymorph: 0.245 eV/atom

---

Material: Tl2AuI4
Method: DFT, PBE
State: optimized geometry

a b c (Å): 5.439 7.227 8.382
angles (deg): 68.01 76.20 88.71
Space group P-1 (No. 2)
Symmetry-distinct sites (fractional):
Tl 0.249 0.308 0.325 x2
Au 0.500 0.000 0.000 x1
I 0.183 0.719 0.959 x2
I 0.370 0.790 0.357 x2

Calculated values
E_form (uncorrected): -0.3694 eV per atom
ΔE to the lowest computed polymorph: 0.000 eV/atom

---

Material: TbHg5Pb2
Method: DFT, PBE
State: optimized geometry

a b c (Å): 4.746 4.746 18.754
angles (deg): 90.00 90.00 90.00
Space group I4/mmm (No. 139)
Symmetry-distinct sites (fractional):
Tb 0.000 0.000 0.000 x2
Hg 0.000 0.000 0.500 x2
Hg 0.000 0.500 0.117 x8
Pb 0.000 0.000 0.238 x4

Calculated values
ΔH_f (0 K): -1.4 eV per formula unit

---

Material: Cs2AlTlH6
Method: DFT, PBE
State: optimized geometry

a b c (Å): 8.820 8.820 8.820
angles (deg): 90.00 90.00 90.00
Space group Fm-3m (No. 225)
Symmetry-distinct sites (fractional):
Cs 0.250 0.250 0.250 x8
Al 0.000 0.000 0.000 x4
Tl 0.000 0.000 0.500 x4
H 0.000 0.000 0.203 x24

---

Material: Ge2BiAs2
Method: DFT, PBE
State: optimized geometry

a b c (Å): 3.917 3.917 14.850
angles (deg): 90.00 90.00 90.00
Space group I4/mmm (No. 139)
Symmetry-distinct sites (fractional):
Ge 0.000 0.500 0.250 x4
Bi 0.000 0.000 0.000 x2
As 0.000 0.000 0.395 x4

Calculated values
ΔH_f (0 K): 1.3 eV per formula unit
ΔE to the lowest computed polymorph: 0.000 eV/atom

---

Material: BaTmI2
Method: DFT, PBE
State: optimized geometry

a b c (Å): 4.0718 4.0718 34.0443
angles (deg): 90.00 90.00 120.00
Space group R-3m (No. 166, hexagonal axes)
Symmetry-distinct sites (fractional):
Ba 0.0000 0.0000 0.0000 x3
Tm 0.0000 0.0000 0.5000 x3
I 0.0000 0.0000 0.1075 x6

Calculated values
E_form (uncorrected): -0.7383 eV per atom

---

Material: Ga3SnAs
Method: DFT, PBE
State: optimized geometry

a b c (Å): 5.210 5.210 5.210
angles (deg): 90.00 90.00 90.00
Space group Pm-3m (No. 221)
Symmetry-distinct sites (fractional):
Ga 0.000 0.000 0.500 x3
Sn 0.000 0.000 0.000 x1
As 0.500 0.500 0.500 x1

Calculated values
ΔH_f (0 K): 3.3 eV per formula unit
ΔE to the lowest computed polymorph: 0.323 eV/atom

---

Material: LaBPt6
Method: DFT, PBE
State: optimized geometry

a b c (Å): 5.6823 5.6823 15.3091
angles (deg): 90.00 90.00 120.00
Space group R-3m (No. 166, hexagonal axes)
Symmetry-distinct sites (fractional):
La 0.0000 0.0000 0.0000 x3
B 0.0000 0.0000 0.5000 x3
Pt 0.0153 0.5076 0.9123 x18

Calculated values
ΔH_f (0 K): -4.5 eV per formula unit

---

Material: CaAc3Au3
Method: DFT, PBE
State: optimized geometry

a b c (Å): 9.985 11.658 7.867
angles (deg): 90.00 92.06 90.00
Space group C2/m (No. 12)
Symmetry-distinct sites (fractional):
Ca 0.247 0.000 0.363 x4
Ac 0.000 0.248 0.500 x4
Ac 0.000 0.324 0.000 x4
Ac 0.157 0.000 0.859 x4
Au 0.060 0.500 0.319 x4
Au 0.245 0.240 0.228 x8

Calculated values
ΔH_f (0 K): -4.4 eV per formula unit

---

Material: SrInH3
Method: DFT, PBE
State: optimized geometry

a b c (Å): 4.612 4.612 4.612
angles (deg): 90.00 90.00 90.00
Space group Pm-3m (No. 221)
Symmetry-distinct sites (fractional):
Sr 0.000 0.000 0.000 x1
In 0.500 0.500 0.500 x1
H 0.000 0.000 0.500 x3

Calculated values
ΔE to the lowest computed polymorph: 0.000 eV/atom

---

Material: SrTi3Mo
Method: DFT, PBE
State: optimized geometry

a b c (Å): 4.928 4.928 4.928
angles (deg): 90.00 90.00 90.00
Space group Pm-3m (No. 221)
Symmetry-distinct sites (fractional):
Sr 0.000 0.000 0.000 x1
Ti 0.000 0.500 0.500 x3
Mo 0.500 0.500 0.500 x1

Calculated values
ΔH_f (0 K): 2.9 eV per formula unit
ΔE to the lowest computed polymorph: 0.000 eV/atom

---

| no. | DFT total energy (eV/atom) |
| --- | --- |
| 1 | -6.553 |
| 2 | -10.055 |
| 3 | -2.399 |
| 4 | -1.868 |
| 5 | -2.927 |
| 6 | -4.217 |
| 7 | -3.112 |
| 8 | -2.892 |
| 9 | -6.546 |
| 10 | -4.081 |
| 11 | -2.848 |
| 12 | -6.664 |